(1)
The following is a DFT calculation (PBE) of CoNiGeW after structural relaxation.

Its crystal system is cubic. The energy above the most stable polymorph in this dataset comes out at 0.00 eV/f.u. The value obtained for the density is 12.09 g cm⁻³. For the total energy, the calculation gives -7.433 eV/atom.

It has space group F-43m (No. 216), with a = 5.902 Å, b = 5.902 Å, c = 5.902 Å, α = 90.00°, β = 90.00° and γ = 90.00°. The distinct sites, in fractional coordinates, are Co at (0.000, 0.000, 0.000), Ni at (0.000, 0.000, 0.500), Ge at (0.250, 0.250, 0.750) and W at (0.250, 0.250, 0.250).

***

(2)
The following is a DFT calculation (PBE) of Tb2LuO4 after structural relaxation.

Its crystal system is cubic. The value obtained for the density is 8.64 g cm⁻³. For the total energy, the calculation gives -8.035 eV/atom.

It has space group Fd-3m (No. 227, origin choice 2), with a = 9.497 Å, b = 9.497 Å, c = 9.497 Å, α = 90.00°, β = 90.00° and γ = 90.00°. The distinct sites, in fractional coordinates, are Tb at (0.000, 0.000, 0.000), Lu at (0.125, 0.125, 0.625) and O at (0.003, 0.003, 0.247).